(1)
VASP calculation (GGA-PBE) on a geometry-optimized ZnAs2W structure.

Cell: 6.439 6.439 6.439 Å, 90.00 90.00 90.00°
Space group F-43m (No. 216)
Inequivalent atoms, fractional coordinates:
Zn 0.000 0.000 0.000
As 0.000 0.000 0.500
As 0.250 0.250 0.250
W 0.250 0.250 0.750

(2)
VASP calculation (GGA-PBE) on a geometry-optimized Lu3CdB2 structure.

Cell: 3.5210 3.5210 23.2134 Å, 90.00 90.00 120.00°
Space group P6_3/mmc (No. 194)
Inequivalent atoms, fractional coordinates:
Lu 0.0000 0.0000 0.0000
Lu 0.3333 0.6667 0.1344
Cd 0.0000 0.0000 0.2500
B 0.3333 0.6667 0.5722

(3)
VASP calculation (GGA-PBE) on a geometry-optimized Ta4GeAuC2 structure.

Cell: 3.1990 3.1990 13.2724 Å, 90.00 90.00 120.00°
Space group P-6m2 (No. 187)
Inequivalent atoms, fractional coordinates:
Ta 0.0000 0.0000 0.1539
Ta 0.6667 0.3333 0.3316
Ge 0.6667 0.3333 0.0000
Au 0.0000 0.0000 0.5000
C 0.3333 0.6667 0.2445

(4)
VASP calculation (GGA-PBE) on a geometry-optimized DyAgSnSeS2 structure.

Cell: 3.984 13.320 10.634 Å, 90.00 90.00 90.00°
Space group Cmcm (No. 63)
Inequivalent atoms, fractional coordinates:
Dy 0.000 0.000 0.000
Ag 0.000 0.463 0.250
Sn 0.000 0.236 0.750
Se 0.000 0.099 0.250
S 0.000 0.362 0.054

(5)
VASP calculation (GGA-PBE) on a geometry-optimized Lu2GeO5 structure.

Computed properties:
- Energy above the lowest structure with this stoichiometry: 0 meV per atom

Cell: 14.634 6.680 10.151 Å, 90.00 121.78 90.00°
Space group C2/c (No. 15)
Inequivalent atoms, fractional coordinates:
Lu 0.035 0.242 0.465
Lu 0.136 0.130 0.837
Ge 0.186 0.405 0.310
O 0.018 0.099 0.899
O 0.081 0.497 0.132
O 0.116 0.197 0.325
O 0.193 0.155 0.675
O 0.204 0.424 0.952

(6)
VASP calculation (GGA-PBE) on a geometry-optimized MgReGeSb structure.

Computed properties:
- Energy above the lowest structure with this stoichiometry: 0 meV per atom

Cell: 6.566 6.566 6.566 Å, 90.00 90.00 90.00°
Space group F-43m (No. 216)
Inequivalent atoms, fractional coordinates:
Mg 0.000 0.000 0.000
Re 0.000 0.000 0.500
Ge 0.250 0.250 0.250
Sb 0.250 0.250 0.750

(7)
VASP calculation (GGA-PBE) on a geometry-optimized Al5Re structure.

Cell: 5.145 8.712 8.509 Å, 90.00 90.00 90.00°
Space group Cmcm (No. 63)
Inequivalent atoms, fractional coordinates:
Al 0.000 0.000 0.000
Al 0.000 0.325 0.068
Al 0.247 0.410 0.750
Re 0.000 0.165 0.750

(8)
VASP calculation (GGA-PBE) on a geometry-optimized PrSiO3 structure.

Cell: 3.768 3.768 3.768 Å, 90.00 90.00 90.00°
Space group Pm-3m (No. 221)
Inequivalent atoms, fractional coordinates:
Pr 0.000 0.000 0.000
Si 0.500 0.500 0.500
O 0.000 0.500 0.500

(9)
VASP calculation (GGA-PBE) on a geometry-optimized FeCl3 structure.

Cell: 6.669 6.669 6.669 Å, 90.00 90.00 90.00°
Space group Fm-3m (No. 225)
Inequivalent atoms, fractional coordinates:
Fe 0.000 0.000 0.000
Cl 0.000 0.000 0.500
Cl 0.250 0.250 0.250

(10)
VASP calculation (GGA-PBE) on a geometry-optimized BaCd structure.

Cell: 7.687 7.687 7.687 Å, 90.00 90.00 90.00°
Space group F-43m (No. 216)
Inequivalent atoms, fractional coordinates:
Ba 0.000 0.000 0.000
Cd 0.250 0.250 0.750

(11)
VASP calculation (GGA-PBE) on a geometry-optimized MgBeCuPb structure.

Computed properties:
- Energy above the lowest structure with this stoichiometry: 11 meV per atom

Cell: 6.543 6.543 6.543 Å, 90.00 90.00 90.00°
Space group F-43m (No. 216)
Inequivalent atoms, fractional coordinates:
Mg 0.000 0.000 0.000
Be 0.000 0.000 0.500
Cu 0.250 0.250 0.750
Pb 0.250 0.250 0.250

(12)
VASP calculation (GGA-PBE) on a geometry-optimized RbErFeSe3 structure.

Cell: 9.050 4.078 10.352 Å, 90.00 111.30 90.00°
Space group P2_1/m (No. 11)
Inequivalent atoms, fractional coordinates:
Rb 0.233 0.250 0.266
Er 0.329 0.750 0.854
Fe 0.072 0.250 0.587
Se 0.100 0.250 0.829
Se 0.217 0.750 0.549
Se 0.453 0.750 0.144

| no. | total energy (eV per atom) |
| --- | --- |
| 1 | -5.12 |
| 2 | -4.63 |
| 3 | -9.67 |
| 4 | -4.78 |
| 5 | -7.78 |
| 6 | -5.36 |
| 7 | -5.27 |
| 8 | -7.42 |
| 9 | -3.14 |
| 10 | -1.20 |
| 11 | -2.75 |
| 12 | -5.26 |